No. 1
A geometry-optimized Pr6AgHg structure, computed with PBE. Values from VASP.

Structure (Quantum ESPRESSO input):
```
&SYSTEM
  ibrav = 0, nat = 8, ntyp = 3
/
ATOMIC_SPECIES
Pr 140.91 Pr.upf
Ag 107.87 Ag.upf
Hg 200.59 Hg.upf
ATOMIC_POSITIONS angstrom
Pr -0.870 2.592 4.634
Pr 0.842 0.000 1.589
Pr -0.870 -2.592 4.634
Pr 4.487 2.592 1.560
Pr 2.776 0.000 4.605
Pr 4.487 -2.592 1.560
Ag -1.735 0.000 3.097
Hg 3.544 0.000 0.000
CELL_PARAMETERS angstrom
3.544 -6.275 0.000
3.544 6.275 0.000
-3.470 0.000 6.193
```

## Properties
energy of formation = 0.05 eV per atom
symmetry = C2/m, No. 12

***

No. 2
A geometry-optimized Pr4Ag5Hg2 structure, computed with PBE. Values from VASP.

Structure (Quantum ESPRESSO input):
```
&SYSTEM
  ibrav = 0, nat = 11, ntyp = 3
/
ATOMIC_SPECIES
Pr 140.91 Pr.upf
Ag 107.87 Ag.upf
Hg 200.59 Hg.upf
ATOMIC_POSITIONS angstrom
Pr 1.197 0.000 3.718
Pr 1.265 0.000 8.921
Pr 5.559 0.000 0.726
Pr 5.627 0.000 5.929
Ag 0.818 1.966 6.214
Ag 3.323 1.966 1.896
Ag 3.412 1.966 4.824
Ag 3.501 1.966 7.752
Ag 6.005 1.966 3.434
Hg 0.464 1.966 1.376
Hg 6.360 1.966 8.272
CELL_PARAMETERS angstrom
7.628 0.000 0.000
0.000 3.932 0.000
-0.804 0.000 9.648
```

## Properties
energy of formation = -0.22 eV per atom
symmetry = P2/m, No. 10

***

> Number 2 is which compound?

Pr4Ag5Hg2